Record 1
Compound: Pr2PtS
Source: Alexandria via LeMat-Bulk
Functional: PBE
Structure: optimized geometry

## Properties
- Distance to the lowest polymorph of the same formula: 66 meV/atom
- Formation energy without anion corrections: -1.468 eV/atom

Unit cell a=7.5991 b=7.5991 c=7.5991 alpha=31.37 beta=31.37 gamma=31.37
Element x y z (fractional)
Pr 0.2482 0.2482 0.2482
Pr 0.7518 0.7518 0.7518
Pt 0.5000 0.5000 0.5000
S 0.0000 0.0000 0.0000

Record 2
Compound: Pr8PtSe4S3
Source: Alexandria via LeMat-Bulk
Functional: PBE
Structure: optimized geometry

## Properties
- Formation energy without anion corrections: -1.826 eV/atom

Unit cell a=8.4691 b=8.4691 c=8.4691 alpha=59.43 beta=59.43 gamma=59.43
Element x y z (fractional)
Pr 0.2440 0.2440 0.2440
Pr 0.2455 0.7451 0.7451
Pr 0.2549 0.2549 0.7545
Pr 0.2549 0.7545 0.2549
Pr 0.7451 0.2455 0.7451
Pr 0.7451 0.7451 0.2455
Pr 0.7545 0.2549 0.2549
Pr 0.7560 0.7560 0.7560
Pt 0.5000 0.5000 0.5000
Se 0.0000 0.0000 0.0000
Se 0.0000 0.5000 0.5000
Se 0.5000 0.0000 0.5000
Se 0.5000 0.5000 0.0000
S 0.0000 0.0000 0.5000
S 0.0000 0.5000 0.0000
S 0.5000 0.0000 0.0000

Record 3
Compound: Pr6PtSe2S3
Source: Alexandria via LeMat-Bulk
Functional: PBE
Structure: optimized geometry

## Properties
- Formation energy without anion corrections: -1.808 eV/atom

Unit cell a=7.2575 b=7.2575 c=7.2463 alpha=99.65 beta=99.65 gamma=119.85
Element x y z (fractional)
Pr 0.0847 0.4142 0.7577
Pr 0.2425 0.2425 0.2389
Pr 0.4142 0.0847 0.7577
Pr 0.5858 0.9153 0.2423
Pr 0.7575 0.7575 0.7611
Pr 0.9153 0.5858 0.2423
Pt 0.0000 0.0000 0.5000
Se 0.3343 0.6657 0.5000
Se 0.6657 0.3343 0.5000
S 0.1705 0.8295 0.0000
S 0.5000 0.5000 0.0000
S 0.8295 0.1705 0.0000

Record 4
Compound: Pr4PtSeS2
Source: Alexandria via LeMat-Bulk
Functional: PBE
Structure: optimized geometry

## Properties
- Formation energy without anion corrections: -1.719 eV/atom

Unit cell a=7.2978 b=4.1292 c=7.3237 alpha=90.00 beta=109.14 gamma=90.00
Element x y z (fractional)
Pr 0.2379 0.0000 0.2445
Pr 0.2478 0.5000 0.7549
Pr 0.7522 0.5000 0.2451
Pr 0.7621 0.0000 0.7555
Pt 0.5000 0.0000 0.0000
Se 0.5000 0.5000 0.5000
S 0.0000 0.0000 0.5000
S 0.0000 0.5000 0.0000

Record 5
Compound: Pr6Pt2Se3S
Source: Alexandria via LeMat-Bulk
Functional: PBE
Structure: optimized geometry

## Properties
- Formation energy without anion corrections: -1.594 eV/atom

Unit cell a=9.6341 b=9.6341 c=8.6586 alpha=104.73 beta=104.73 gamma=24.99
Element x y z (fractional)
Pr 0.0023 0.0023 0.2429
Pr 0.3311 0.3311 0.4235
Pr 0.3350 0.3350 0.9035
Pr 0.6650 0.6650 0.0965
Pr 0.6689 0.6689 0.5765
Pr 0.9977 0.9977 0.7571
Pt 0.1657 0.1657 0.3343
Pt 0.8343 0.8343 0.6657
Se 0.1639 0.1639 0.8380
Se 0.5000 0.5000 0.5000
Se 0.8361 0.8361 0.1620
S 0.5000 0.5000 0.0000

Record 6
Compound: Pr4PtSe2S
Source: Alexandria via LeMat-Bulk
Functional: PBE
Structure: optimized geometry

## Properties
- Formation energy without anion corrections: -1.689 eV/atom

Unit cell a=7.3730 b=4.1680 c=7.4283 alpha=90.00 beta=109.27 gamma=90.00
Element x y z (fractional)
Pr 0.2422 0.0000 0.2402
Pr 0.2575 0.5000 0.7645
Pr 0.7425 0.5000 0.2355
Pr 0.7578 0.0000 0.7598
Pt 0.5000 0.0000 0.0000
Se 0.0000 0.0000 0.5000
Se 0.5000 0.5000 0.5000
S 0.0000 0.5000 0.0000

Record 7
Compound: Pr8Te4Pt3S
Source: Alexandria via LeMat-Bulk
Functional: PBE
Structure: optimized geometry

## Properties
- Formation energy without anion corrections: -1.357 eV/atom

Unit cell a=8.9997 b=8.9997 c=8.9997 alpha=57.23 beta=57.23 gamma=57.23
Element x y z (fractional)
Pr 0.2372 0.2372 0.2372
Pr 0.2368 0.7414 0.7414
Pr 0.2586 0.2586 0.7632
Pr 0.2586 0.7632 0.2586
Pr 0.7414 0.2368 0.7414
Pr 0.7414 0.7414 0.2368
Pr 0.7632 0.2586 0.2586
Pr 0.7628 0.7628 0.7628
Te 0.0000 0.0000 0.0000
Te 0.0000 0.5000 0.5000
Te 0.5000 0.0000 0.5000
Te 0.5000 0.5000 0.0000
Pt 0.0000 0.0000 0.5000
Pt 0.0000 0.5000 0.0000
Pt 0.5000 0.0000 0.0000
S 0.5000 0.5000 0.5000

Record 8
Compound: Pr4TePtS2
Source: Alexandria via LeMat-Bulk
Functional: PBE
Structure: optimized geometry

## Properties
- Formation energy without anion corrections: -1.587 eV/atom

Unit cell a=7.4343 b=4.1766 c=7.4536 alpha=90.00 beta=108.93 gamma=90.00
Element x y z (fractional)
Pr 0.2231 0.0000 0.2318
Pr 0.2447 0.5000 0.7628
Pr 0.7553 0.5000 0.2372
Pr 0.7769 0.0000 0.7682
Te 0.5000 0.5000 0.5000
Pt 0.5000 0.0000 0.0000
S 0.0000 0.0000 0.5000
S 0.0000 0.5000 0.0000

Record 9
Compound: Pr8Te4PtS3
Source: Alexandria via LeMat-Bulk
Functional: PBE
Structure: optimized geometry

## Properties
- Formation energy without anion corrections: -1.621 eV/atom

Unit cell a=8.8156 b=8.8156 c=8.8156 alpha=58.31 beta=58.31 gamma=58.31
Element x y z (fractional)
Pr 0.2366 0.2366 0.2366
Pr 0.2391 0.7387 0.7387
Pr 0.2613 0.2613 0.7609
Pr 0.2613 0.7609 0.2613
Pr 0.7387 0.2391 0.7387
Pr 0.7387 0.7387 0.2391
Pr 0.7609 0.2613 0.2613
Pr 0.7634 0.7634 0.7634
Te 0.0000 0.0000 0.0000
Te 0.0000 0.5000 0.5000
Te 0.5000 0.0000 0.5000
Te 0.5000 0.5000 0.0000
Pt 0.5000 0.5000 0.5000
S 0.0000 0.0000 0.5000
S 0.0000 0.5000 0.0000
S 0.5000 0.0000 0.0000

Record 10
Compound: Pr3SbPt8
Source: Alexandria via LeMat-Bulk
Functional: PBE
Structure: optimized geometry

## Properties
- Formation energy without anion corrections: -0.892 eV/atom

Unit cell a=9.5616 b=9.5616 c=9.5616 alpha=33.85 beta=33.85 gamma=33.85
Element x y z (fractional)
Pr 0.0000 0.0000 0.0000
Pr 0.1317 0.1317 0.1317
Pr 0.5223 0.5223 0.5223
Sb 0.6593 0.6593 0.6593
Pt 0.0715 0.0715 0.5649
Pt 0.0715 0.5649 0.0715
Pt 0.0832 0.5703 0.5703
Pt 0.3196 0.3196 0.3196
Pt 0.5649 0.0715 0.0715
Pt 0.5703 0.0832 0.5703
Pt 0.5703 0.5703 0.0832
Pt 0.8219 0.8219 0.8219

Record 11
Compound: Pr4Sb2Pt
Source: Alexandria via LeMat-Bulk
Functional: PBE
Structure: optimized geometry

## Properties
- Formation energy without anion corrections: -0.840 eV/atom

Unit cell a=8.4154 b=8.4154 c=7.5616 alpha=115.35 beta=115.35 gamma=30.36
Element x y z (fractional)
Pr 0.1169 0.1169 0.4351
Pr 0.3811 0.3811 0.0209
Pr 0.6189 0.6189 0.9791
Pr 0.8831 0.8831 0.5649
Sb 0.2646 0.2646 0.2663
Sb 0.7354 0.7354 0.7337
Pt 0.0000 0.0000 0.0000

Record 12
Compound: PrSbPt3
Source: Alexandria via LeMat-Bulk
Functional: PBE
Structure: optimized geometry

## Properties
- Distance to the lowest polymorph of the same formula: 0 meV/atom
- Formation energy without anion corrections: -0.766 eV/atom

Unit cell a=6.6648 b=6.6648 c=6.6648 alpha=143.15 beta=143.15 gamma=53.10
Element x y z (fractional)
Pr 0.0000 0.0000 0.0000
Sb 0.3541 0.3541 0.0000
Pt 0.2206 0.7206 0.5000
Pt 0.5686 0.5686 0.0000
Pt 0.7206 0.2206 0.5000